Record 1
Entry from Alexandria: a geometry-optimized DyTm5Ni2 structure (GGA-PBE).

Computed properties:
The total energy comes out at -159.88 eV for the cell shown. The formation energy is -181 meV per atom. For the density, the calculation gives 9.3 g cm⁻³.

abc: 4.7970 11.6686 14.3771
angles: 90.00 90.00 90.00
Closest atoms and distances in Å follow each position.
Space group Cmcm (No. 63)
Asymmetric unit:
Dy (0.0000, 0.1309, 0.2500)  4 Ni 3.17, 5 Tm 3.30-3.47
Tm (0.0000, 0.1544, 0.0213)  3 Ni 2.70-2.75
Tm (0.0000, 0.1664, 0.7500)  2 Ni 2.66
Tm (0.0000, 0.4578, 0.1211)  1 Ni 2.63
Ni (0.0000, 0.3174, 0.6118)  5 Tm 2.63-2.75



Record 2
Entry from Alexandria: a geometry-optimized AcAlIn structure (GGA-PBE).

Computed properties:
The total energy comes out at -11.86 eV for the cell shown. The formation energy is -425 meV per atom. For the density, the calculation gives 6.8 g cm⁻³.

abc: 4.6755 4.6755 4.7288
angles: 90.00 90.00 120.00
Closest atoms and distances in Å follow each position.
Space group P-6m2 (No. 187)
Asymmetric unit:
Ac (0.0000, 0.0000, 0.0000)  6 In 3.59, 6 Al 3.59
Al (0.3333, 0.6667, 0.5000)  3 In 2.70
In (0.6667, 0.3333, 0.5000)  3 Al 2.70



Record 3
Entry from Alexandria: a geometry-optimized Sr2TaSb structure (GGA-PBE).

Computed properties:
The total energy comes out at -68.92 eV for the cell shown. The value obtained for the uncorrected formation energy is 0.53 eV per atom. For the density, the calculation gives 7.3 g cm⁻³.

abc: 7.5893 7.5893 7.5893
angles: 90.00 90.00 90.00
Closest atoms and distances in Å follow each position.
Space group F-43m (No. 216)
Asymmetric unit:
Sr (0.0000, 0.0000, 0.0000)  4 Ta 3.29, 4 Sr 3.29
Sr (0.2500, 0.2500, 0.2500)  4 Sb 3.29, 4 Sr 3.29
Ta (0.2500, 0.2500, 0.7500)  4 Sb 3.29, 4 Sr 3.29
Sb (0.0000, 0.0000, 0.5000)  4 Sr 3.29, 4 Ta 3.29



Record 4
Entry from Alexandria: a geometry-optimized Nd5PaN8 structure (GGA-PBE).

Computed properties:
The total energy comes out at -229.59 eV for the cell shown. The value obtained for the uncorrected formation energy is -1.06 eV per atom. For the density, the calculation gives 8.3 g cm⁻³.

abc: 7.5650 7.5650 7.4138
angles: 90.00 90.00 90.00
Closest atoms and distances in Å follow each position.
Space group I-4 (No. 82)
Asymmetric unit:
Nd (0.0000, 0.0000, 0.0000)  4 N 2.58
Nd (0.1185, 0.2319, 0.3623)  6 N 2.42-2.71
Pa (0.0000, 0.5000, 0.7500)  8 N 2.37-2.45
N (0.0408, 0.4092, 0.0532)  1 N 1.51
N (0.0854, 0.1894, 0.7237)  1 Pa 2.45, 5 Nd 2.54-2.71